## ZnMo2SO (GGA+U)

Data for an optimized crystal structure of ZnMo2SO.

Lattice parameters (Å, degrees): 4.3586 4.3586 4.8505 90.00 90.00 90.00
With the nearest neighbours (Å) after each atom.
Sites, in units of the cell vectors:
Zn (0.0000, 0.0000, 0.0000)  4 S 3.08, 8 Mo 3.26
Mo (0.0000, 0.5000, 0.5000)  2 O 2.18
Mo (0.5000, 0.0000, 0.5000)  2 O 2.18
S (0.5000, 0.5000, 0.0000)  2 O 2.43
O (0.5000, 0.5000, 0.5000)  4 Mo 2.18, 2 S 2.43

Results
DFT total energy: -4.45 eV/atom